Entry 1:
First-principles (GGA-PBE) data for an optimized crystal structure of ZnFe2As, as listed in Alexandria.

Computed properties:
Symmetry: R3m
Calculated formation energy (eV per formula unit): 0.72
ρ (g/cm³): 7.3
ΔE to the lowest computed polymorph (meV per atom): 134
Fermi-level density of states (states/eV/cell): 3.1
Total DFT energy (no corrections) (eV/atom): -5.531

The structure in POSCAR format:
```
ZnFe2As
1.0
4.014 0.000 0.000
2.007 3.476 0.000
2.007 1.159 4.086
Zn Fe As
1 2 1
Direct
0.488 0.488 0.535
0.051 0.051 0.847
0.267 0.267 0.198
0.693 0.693 0.920
```


Entry 2:
First-principles (GGA-PBE) data for an optimized crystal structure of ZnFeAs2, as listed in Alexandria.

Computed properties:
Symmetry: C2/m
Calculated formation energy (eV per formula unit): 0.16
ρ (g/cm³): 6.8
Fermi-level density of states (states/eV/cell): 2.1
Total DFT energy (no corrections) (eV/atom): -4.718

The structure in POSCAR format:
```
ZnFeAs2
1.0
-1.751 -0.445 -2.754
-3.069 -1.176 0.220
-4.078 5.934 -0.348
As Fe Zn
2 1 1
Direct
0.011 0.011 0.970
0.489 0.489 0.530
0.750 0.750 0.750
0.250 0.250 0.250
```


Entry 3:
First-principles (GGA-PBE) data for an optimized crystal structure of Zn4FeAs, as listed in Alexandria.

Computed properties:
Symmetry: F-43m
Calculated formation energy (eV per formula unit): 1.68
ρ (g/cm³): 7.2
Fermi-level density of states (states/eV/cell): 5.5
Total DFT energy (no corrections) (eV/atom): -2.755

The structure in POSCAR format:
```
Zn4FeAs
1.0
-0.073 -4.224 -2.761
0.630 -4.483 2.230
-3.886 -3.197 0.382
Zn Fe As
4 1 1
Direct
0.878 0.374 0.374
0.374 0.374 0.878
0.374 0.878 0.374
0.374 0.374 0.374
0.000 0.000 0.000
0.750 0.750 0.750
```


Entry 4:
First-principles (GGA-PBE) data for an optimized crystal structure of ZnFe2As, as listed in Alexandria.

Computed properties:
Symmetry: C2/m
Calculated formation energy (eV per formula unit): 0.71
ρ (g/cm³): 7.8
ΔE to the lowest computed polymorph (meV per atom): 132
Fermi-level density of states (states/eV/cell): 3.2
Total DFT energy (no corrections) (eV/atom): -5.534

The structure in POSCAR format:
```
ZnFe2As
1.0
5.314 0.005 0.015
-2.334 4.086 -0.001
0.646 0.839 2.488
As Fe Zn
1 2 1
Direct
0.500 0.500 0.000
0.000 0.000 0.000
0.500 0.000 0.500
0.000 0.500 0.500
```


Entry 5:
First-principles (GGA-PBE) data for an optimized crystal structure of ZnFeAs2, as listed in Alexandria.

Computed properties:
Symmetry: I-4m2
Calculated formation energy (eV per formula unit): 1.28
ρ (g/cm³): 6.9
Fermi-level density of states (states/eV/cell): 3.9
Total DFT energy (no corrections) (eV/atom): -4.440

The structure in POSCAR format:
```
ZnFeAs2
1.0
-5.030 0.111 1.851
-4.172 -0.174 -3.363
4.596 -2.610 0.900
As Fe Zn
2 1 1
Direct
0.000 0.000 0.000
0.250 0.750 0.500
0.500 0.500 0.000
0.750 0.250 0.500
```


Entry 6:
First-principles (GGA-PBE) data for an optimized crystal structure of ZnFeAs, as listed in Alexandria.

Computed properties:
Symmetry: P3m1
Calculated formation energy (eV per formula unit): 0.24
ρ (g/cm³): 7.2
ΔE to the lowest computed polymorph (meV per atom): 50
Fermi-level density of states (states/eV/cell): 1.4
Total DFT energy (no corrections) (eV/atom): -4.716

The structure in POSCAR format:
```
ZnFeAs
1.0
2.935 0.000 0.000
-1.468 2.542 0.000
0.000 0.000 6.055
As Fe Zn
1 1 1
Direct
0.000 0.000 0.047
0.667 0.333 0.318
0.333 0.667 0.636
```


Entry 7:
First-principles (GGA-PBE) data for an optimized crystal structure of ZnFe2As, as listed in Alexandria.

Computed properties:
Symmetry: Imm2
Calculated formation energy (eV per formula unit): 0.38
ρ (g/cm³): 7.9
ΔE to the lowest computed polymorph (meV per atom): 49
Fermi-level density of states (states/eV/cell): 2.9
Total DFT energy (no corrections) (eV/atom): -5.617

The structure in POSCAR format:
```
ZnFe2As
1.0
-4.719 0.816 0.027
-2.047 -0.025 4.330
3.628 2.158 -2.263
As Fe Zn
1 2 1
Direct
0.237 0.737 0.500
0.000 0.000 0.000
0.763 0.263 0.500
0.500 0.500 0.000
```


Entry 8:
First-principles (GGA-PBE) data for an optimized crystal structure of ZnFeAs2, as listed in Alexandria.

Computed properties:
Symmetry: I4/mmm
Calculated formation energy (eV per formula unit): 1.20
ρ (g/cm³): 7.3
Fermi-level density of states (states/eV/cell): 5.2
Total DFT energy (no corrections) (eV/atom): -4.459

The structure in POSCAR format:
```
ZnFeAs2
1.0
4.608 -0.037 0.000
0.834 4.532 0.000
-2.721 -2.247 2.963
As Fe Zn
2 1 1
Direct
0.000 0.000 0.000
0.500 0.500 0.000
0.250 0.750 0.500
0.750 0.250 0.500
```


Entry 9:
First-principles (GGA-PBE) data for an optimized crystal structure of ZnFeAs2, as listed in Alexandria.

Computed properties:
Symmetry: P4mm
Calculated formation energy (eV per formula unit): 0.43
ρ (g/cm³): 7.1
Fermi-level density of states (states/eV/cell): 0.8
Total DFT energy (no corrections) (eV/atom): -4.650

The structure in POSCAR format:
```
ZnFeAs2
1.0
2.859 0.000 0.000
0.000 2.859 0.000
0.000 0.000 7.796
As Fe Zn
2 1 1
Direct
0.000 0.000 0.971
0.500 0.500 0.329
0.000 0.000 0.494
0.500 0.500 0.706
```


Entry 10:
First-principles (GGA-PBE) data for an optimized crystal structure of ZnFe2As, as listed in Alexandria.

Computed properties:
Symmetry: R-3m
Calculated formation energy (eV per formula unit): 0.65
ρ (g/cm³): 7.9
ΔE to the lowest computed polymorph (meV per atom): 115
Fermi-level density of states (states/eV/cell): 2.7
Total DFT energy (no corrections) (eV/atom): -5.551

The structure in POSCAR format:
```
ZnFe2As
1.0
7.967 -0.003 -0.002
7.475 2.756 -0.002
7.475 1.333 2.412
As Fe Zn
1 2 1
Direct
0.750 0.750 0.750
0.004 0.004 0.004
0.496 0.496 0.496
0.250 0.250 0.250
```


Entry 11:
First-principles (GGA-PBE) data for an optimized crystal structure of ZnFe2As, as listed in Alexandria.

Computed properties:
Symmetry: Pm
Calculated formation energy (eV per formula unit): 0.56
ρ (g/cm³): 7.6
ΔE to the lowest computed polymorph (meV per atom): 92
Fermi-level density of states (states/eV/cell): 2.5
Total DFT energy (no corrections) (eV/atom): -5.573

The structure in POSCAR format:
```
ZnFe2As
1.0
4.190 0.000 0.000
0.000 2.743 0.128
0.000 1.326 4.873
As Fe Zn
1 2 1
Direct
0.500 0.880 0.790
0.000 0.039 0.007
0.500 0.165 0.238
0.000 0.415 0.465
```


Entry 12:
First-principles (GGA-PBE) data for an optimized crystal structure of ZnFeAs2, as listed in Alexandria.

Computed properties:
Symmetry: C2/m
Calculated formation energy (eV per formula unit): 1.13
ρ (g/cm³): 7.0
Fermi-level density of states (states/eV/cell): 3.5
Total DFT energy (no corrections) (eV/atom): -4.476

The structure in POSCAR format:
```
ZnFeAs2
1.0
-4.394 0.596 -0.435
0.895 -3.566 -2.517
-0.936 -2.337 2.295
As Fe Zn
2 1 1
Direct
0.000 0.000 0.000
0.500 0.500 0.000
0.500 0.000 0.500
0.000 0.500 0.500
```


Entry 13:
First-principles (GGA-PBE) data for an optimized crystal structure of ZnFeAs2, as listed in Alexandria.

Computed properties:
Symmetry: I-42d
Calculated formation energy (eV per formula unit): 0.57
ρ (g/cm³): 5.4
Fermi-level density of states (states/eV/cell): 4.8
Total DFT energy (no corrections) (eV/atom): -4.616

The structure in POSCAR format:
```
ZnFeAs2
1.0
-5.445 0.419 -0.315
-0.393 -5.438 -0.442
-3.270 -2.932 5.123
As Zn Fe
4 2 2
Direct
0.582 0.125 0.250
0.168 0.625 0.250
0.375 0.418 0.750
0.875 0.832 0.750
0.000 0.000 0.000
0.750 0.250 0.500
0.500 0.500 0.000
0.250 0.750 0.500
```


Entry 14:
First-principles (GGA-PBE) data for an optimized crystal structure of ZnFeAs2, as listed in Alexandria.

Computed properties:
Symmetry: P2/m
Calculated formation energy (eV per formula unit): 0.25
ρ (g/cm³): 6.8
Fermi-level density of states (states/eV/cell): 2.2
Total DFT energy (no corrections) (eV/atom): -4.696

The structure in POSCAR format:
```
ZnFeAs2
1.0
2.953 0.000 0.000
0.000 2.866 0.003
0.000 -0.026 7.780
As Fe Zn
2 1 1
Direct
0.000 0.748 0.062
0.000 0.752 0.438
0.500 0.250 0.250
0.500 0.750 0.750
```


Entry 15:
First-principles (GGA-PBE) data for an optimized crystal structure of ZnFe2As, as listed in Alexandria.

Computed properties:
Symmetry: I-42d
Calculated formation energy (eV per formula unit): 1.41
ρ (g/cm³): 7.1
ΔE to the lowest computed polymorph (meV per atom): 305
Fermi-level density of states (states/eV/cell): 6.4
Total DFT energy (no corrections) (eV/atom): -5.360

The structure in POSCAR format:
```
ZnFe2As
1.0
-3.109 -5.889 -0.970
5.448 -2.354 -3.173
2.110 -4.990 0.188
As Zn Fe
2 2 4
Direct
0.000 0.000 0.000
0.750 0.250 0.500
0.500 0.500 0.000
0.250 0.750 0.500
0.642 0.125 0.250
0.108 0.625 0.250
0.375 0.358 0.750
0.875 0.892 0.750
```


Entry 16:
First-principles (GGA-PBE) data for an optimized crystal structure of ZnFeAs, as listed in Alexandria.

Computed properties:
Symmetry: Cmc2_1
Calculated formation energy (eV per formula unit): 0.09
ρ (g/cm³): 6.7
ΔE to the lowest computed polymorph (meV per atom): 0
Fermi-level density of states (states/eV/cell): 6.7
Total DFT energy (no corrections) (eV/atom): -4.766

The structure in POSCAR format:
```
ZnFeAs
1.0
6.064 0.000 0.000
0.000 7.054 -0.262
0.000 -3.400 4.677
As Zn Fe
4 4 4
Direct
0.225 0.379 0.863
0.225 0.879 0.364
0.725 0.121 0.636
0.725 0.621 0.137
0.762 0.497 0.509
0.762 0.997 0.009
0.262 0.003 0.991
0.262 0.503 0.491
0.016 0.182 0.454
0.516 0.818 0.546
0.516 0.318 0.046
0.016 0.682 0.954
```


Entry 17:
First-principles (GGA-PBE) data for an optimized crystal structure of ZnFeAs2, as listed in Alexandria.

Computed properties:
Symmetry: F-43m
Calculated formation energy (eV per formula unit): 1.96
ρ (g/cm³): 6.9
Fermi-level density of states (states/eV/cell): 5.1
Total DFT energy (no corrections) (eV/atom): -4.268

The structure in POSCAR format:
```
ZnFeAs2
1.0
4.526 0.000 0.000
2.263 3.919 0.000
2.263 1.306 3.695
As Fe Zn
2 1 1
Direct
0.000 0.000 0.000
0.250 0.250 0.250
0.500 0.500 0.500
0.750 0.750 0.750
```


Entry 18:
First-principles (GGA-PBE) data for an optimized crystal structure of ZnFe2As, as listed in Alexandria.

Computed properties:
Symmetry: Immm
Calculated formation energy (eV per formula unit): 0.57
ρ (g/cm³): 7.8
ΔE to the lowest computed polymorph (meV per atom): 95
Fermi-level density of states (states/eV/cell): 3.6
Total DFT energy (no corrections) (eV/atom): -5.571

The structure in POSCAR format:
```
ZnFe2As
1.0
-4.153 -1.879 0.783
-0.598 -0.503 4.559
1.028 3.504 -2.838
As Fe Zn
1 2 1
Direct
0.250 0.750 0.500
0.009 0.009 0.000
0.491 0.491 0.000
0.750 0.250 0.500
```


Entry 19:
First-principles (GGA-PBE) data for an optimized crystal structure of ZnFe2As, as listed in Alexandria.

Computed properties:
Symmetry: R3m
Calculated formation energy (eV per formula unit): 0.70
ρ (g/cm³): 7.2
ΔE to the lowest computed polymorph (meV per atom): 129
Fermi-level density of states (states/eV/cell): 4.2
Total DFT energy (no corrections) (eV/atom): -5.536

The structure in POSCAR format:
```
ZnFe2As
1.0
8.339 -0.070 -0.041
7.873 2.751 -0.041
7.873 1.302 2.424
As Fe Zn
1 2 1
Direct
0.737 0.737 0.737
0.997 0.997 0.997
0.258 0.258 0.258
0.508 0.508 0.508
```


Entry 20:
First-principles (GGA-PBE) data for an optimized crystal structure of ZnFeAs, as listed in Alexandria.

Computed properties:
Symmetry: F-43m
Calculated formation energy (eV per formula unit): 0.70
ρ (g/cm³): 6.6
ΔE to the lowest computed polymorph (meV per atom): 205
Fermi-level density of states (states/eV/cell): 3.5
Total DFT energy (no corrections) (eV/atom): -4.561

The structure in POSCAR format:
```
ZnFeAs
1.0
-0.458 3.964 -0.975
0.399 1.214 -3.904
-3.300 1.227 -2.116
As Fe Zn
1 1 1
Direct
0.750 0.750 0.750
0.000 0.000 0.000
0.500 0.500 0.500
```